This record from the Alexandria database describes crystalline BaBiPb2S4 at its relaxed geometry. The functional is PBE-GGA.

Output
Its raw formation energy is -767 meV per atom. For the mass density, the calculation gives 6490 kg/m³. The total magnetic moment is 0.00 Bohr magnetons per cell.

Cell lengths 8.6254, 8.6254, 8.4710 Å; angles 119.40, 119.40, 89.63 degrees
Fractional positions:
S1 0.2548 0.2451 0.0132
Pb1 0.5000 0.0000 0.0000
S2 0.2649 0.7536 0.5092
S3 0.7464 0.2351 0.9908
S4 0.2549 0.2452 0.4868
S5 0.7452 0.7549 0.9868
Bi1 0.5000 0.5000 0.5000
Pb2 0.5000 0.0000 0.5000
S6 0.2536 0.7649 0.0092
Pb3 0.0000 0.0000 0.5000
S7 0.7351 0.2464 0.4908
S8 0.7451 0.7548 0.5132
Ba1 0.0000 0.5000 0.0000
Pb4 0.5000 0.5000 0.0000
Ba2 0.0000 0.5000 0.5000
Bi2 0.0000 0.0000 0.0000